(1)
DFT (GGA-PBE) results for an optimized crystal structure of La2BeHgRu.

abc: 5.477 5.477 4.436
angles: 90.00 90.00 90.00
Space group P4/mmm (No. 123)
Symmetry-distinct sites (fractional):
1 La 0.000 0.500 0.000
2 Be 0.000 0.000 0.500
3 Hg 0.500 0.500 0.500
4 Ru 0.000 0.000 0.000

Calculated values
formation energy	-177.6	meV per atom
volume	133.1	Å³/f.u.
DFT total energy	-4.8093	eV per atom
total moment	0.0000	μB/atom

(2)
DFT (GGA-PBE) results for an optimized crystal structure of Co7C.

abc: 6.902 6.902 6.902
angles: 90.00 90.00 90.00
Space group Fm-3m (No. 225)
Symmetry-distinct sites (fractional):
1 Co 0.000 0.000 0.000
2 Co 0.000 0.250 0.250
3 C 0.000 0.000 0.500

Calculated values
formation energy	535.6	meV per atom
volume	82.2	Å³/f.u.
DFT total energy	-6.8350	eV per atom
total moment	1.3281	μB/atom

(3)
DFT (GGA-PBE) results for an optimized crystal structure of NaHg2SeBr.

abc: 5.418 5.418 5.731
angles: 90.00 90.00 90.00
Space group P4/mmm (No. 123)
Symmetry-distinct sites (fractional):
1 Na 0.000 0.000 0.000
2 Hg 0.000 0.500 0.500
3 Se 0.000 0.000 0.500
4 Br 0.500 0.500 0.000

Calculated values
volume	168.2	Å³/f.u.
DFT total energy	-1.9071	eV per atom
total moment	0.0000	μB/atom
energy relative to the elements, uncorrected	-491.1	meV per atom

(4)
DFT (GGA-PBE) results for an optimized crystal structure of DyTlH.

abc: 3.6321 3.6321 5.3227
angles: 90.00 90.00 120.00
Space group P3m1 (No. 156)
Symmetry-distinct sites (fractional):
1 Dy 0.0000 0.0000 0.0000
2 Tl 0.6667 0.3333 0.5000
3 H 0.3333 0.6667 0.0018

Calculated values
E above lowest polymorph	0.000	eV per atom
volume	60.8	Å³/f.u.
DFT total energy	-3.8543	eV per atom
total moment	0.0000	μB/atom